Entry 1:
First-principles (GGA-PBE) data for an optimized crystal structure of Tb4HgS2, as listed in Alexandria via LeMat-Bulk.

Unit cell a=3.978 b=12.949 c=13.692 alpha=90.00 beta=90.00 gamma=90.00
Space group Cmcm (No. 63)
Unique sites:
Tb  0.000  0.000  0.000 (multiplicity 4)
Tb  0.000  0.268  0.117 (multiplicity 8)
Tb  0.000  0.433  0.750 (multiplicity 4)
Hg  0.000  0.112  0.750 (multiplicity 4)
S  0.000  0.365  0.559 (multiplicity 8)

Summary:
The calculated density is 8.48 g/cm3. The value obtained for the formation energy (no corrections) is -9.234 eV/f.u.

Entry 2:
First-principles (GGA-PBE) data for an optimized crystal structure of NaBiF4, as listed in Alexandria via LeMat-Bulk.

Unit cell a=8.371 b=5.843 c=8.057 alpha=90.00 beta=92.37 gamma=90.00
Space group P2_1/c (No. 14)
Unique sites:
Na  0.135  0.226  0.323 (multiplicity 4)
Bi  0.338  0.709  0.128 (multiplicity 4)
F  0.115  0.620  0.682 (multiplicity 4)
F  0.182  0.081  0.580 (multiplicity 4)
F  0.318  0.540  0.381 (multiplicity 4)
F  0.418  0.519  0.837 (multiplicity 4)

Summary:
The calculated density is 5.20 g/cm3. The value obtained for the formation energy (no corrections) is -15.511 eV/f.u.